# 1
The following is a PBE calculation of a geometry-optimized ZnIrS3 structure, from the Alexandria database.

Output
Uncorrected formation energy in eV per atom: 0.555
Distance to the lowest polymorph of the same formula in eV per atom: 0.0000

Geometry as POSCAR:
```
ZnIrS3
1.0
4.671 0.000 0.000
0.000 4.671 0.000
0.000 0.000 4.671
Zn Ir S
1 1 3
Direct
0.000 0.000 0.000 Zn
0.500 0.500 0.500 Ir
0.000 0.500 0.500 S
0.500 0.000 0.500 S
0.500 0.500 0.000 S
```

# 2
The following is a PBE calculation of a geometry-optimized ZnIrS2 structure, from the Alexandria database.

Output
Uncorrected formation energy in eV per atom: -0.172

Geometry as POSCAR:
```
ZnIrS2
1.0
1.808 1.044 7.016
-1.808 1.044 7.016
0.000 -2.088 7.016
Zn Ir S
1 1 2
Direct
0.000 0.000 0.000 Zn
0.500 0.500 0.500 Ir
0.112 0.112 0.112 S
0.888 0.888 0.888 S
```